Below is crystalline TcTe2PI at its relaxed geometry, with properties calculated at the GGA-PBEsol level.

Results
SG	P4/mmm
theoretical density	6.243	Mg/m³
N(E_F)	5.527	states/eV per cell
total moment	0.000	μB per atom
electronic total energy	-21.464	eV per formula unit

Cell lengths 5.0394, 5.0394, 5.3527 Å; angles 90.00, 90.00, 90.00 degrees
With the nearest neighbours (Å) after each atom.
Atoms (fractional coordinates):
Tc 0.0000 0.0000 0.0000  4 Te 2.52, 2 I 2.68
Te 0.0000 0.5000 0.0000  2 Tc 2.52
Te 0.5000 0.0000 0.0000  2 Tc 2.52
P 0.5000 0.5000 0.5000  4 I 3.56, 8 Te 3.68
I 0.0000 0.0000 0.5000  2 Tc 2.68

Below is crystalline MgTcPt2 at its relaxed geometry, with properties calculated at the GGA-PBEsol level.

Results
SG	P4mm
theoretical density	13.992	Mg/m³
N(E_F)	3.303	states/eV per cell
total moment	0.000	μB per atom
electronic total energy	-27.179	eV per formula unit

Cell lengths 3.2292, 3.2292, 5.8326 Å; angles 90.00, 90.00, 90.00 degrees
With the nearest neighbours (Å) after each atom.
Atoms (fractional coordinates):
Mg 0.0000 0.0000 0.0000  6 Pt 2.66-2.92, 4 Tc 2.82
Tc 0.5000 0.5000 0.7163  5 Pt 2.61-2.82, 4 Mg 2.82
Pt 0.0000 0.0000 0.5010  4 Tc 2.61, 4 Pt 2.77, 1 Mg 2.91
Pt 0.5000 0.5000 0.2333  4 Mg 2.66, 4 Pt 2.77, 1 Tc 2.82

Below is crystalline RbCdP3 at its relaxed geometry, with properties calculated at the GGA-PBEsol level.

Results
SG	Pm-3m
theoretical density	3.731	Mg/m³
N(E_F)	3.750	states/eV per cell
total moment	0.000	μB per atom
electronic total energy	-15.710	eV per formula unit

Cell lengths 5.0584, 5.0584, 5.0584 Å; angles 90.00, 90.00, 90.00 degrees
With the nearest neighbours (Å) after each atom.
Atoms (fractional coordinates):
Rb 0.0000 0.0000 0.0000  12 P 3.58
Cd 0.5000 0.5000 0.5000  6 P 2.53
P 0.0000 0.5000 0.5000  2 Cd 2.53
P 0.5000 0.0000 0.5000  2 Cd 2.53
P 0.5000 0.5000 0.0000  2 Cd 2.53

Below is crystalline YBe2Os at its relaxed geometry, with properties calculated at the GGA-PBEsol level.

Results
SG	C2/m
theoretical density	8.174	Mg/m³
N(E_F)	2.019	states/eV per cell
offset from the most stable computed form	0.000	eV/atom
total moment	0.000	μB per atom
electronic total energy	-27.780	eV per formula unit

Cell lengths 4.2136, 4.2136, 4.9008 Å; angles 107.17, 107.17, 47.12 degrees
With the nearest neighbours (Å) after each atom.
Atoms (fractional coordinates):
Y 0.0000 0.0000 0.0000  8 Be 2.87-2.97, 4 Os 2.97
Be 0.2176 0.2176 0.5979  2 Be 2.08, 2 Os 2.32
Be 0.7824 0.7824 0.4021  2 Be 2.08, 2 Os 2.32
Os 0.5000 0.5000 0.5000  6 Be 2.32-2.38

Below is crystalline La2InCu at its relaxed geometry, with properties calculated at the GGA-PBEsol level.

Results
SG	P4/mmm
theoretical density	7.274	Mg/m³
N(E_F)	4.655	states/eV per cell
total moment	0.000	μB per atom
electronic total energy	-19.182	eV per formula unit

Cell lengths 3.6802, 3.6802, 7.6893 Å; angles 90.00, 90.00, 90.00 degrees
With the nearest neighbours (Å) after each atom.
Atoms (fractional coordinates):
La 0.0000 0.0000 0.2209  4 Cu 3.11, 4 In 3.37, 1 La 3.40
La 0.0000 0.0000 0.7791  4 Cu 3.11, 4 In 3.37, 1 La 3.40
In 0.5000 0.5000 0.5000  8 La 3.37, 4 In 3.68
Cu 0.5000 0.5000 0.0000  8 La 3.11

Below is crystalline BaZn2Pb2 at its relaxed geometry, with properties calculated at the GGA-PBEsol level.

Results
SG	C2/m
theoretical density	8.448	Mg/m³
N(E_F)	1.014	states/eV per cell
total moment	0.000	μB per atom
electronic total energy	-14.655	eV per formula unit

Cell lengths 4.8210, 4.8210, 6.6096 Å; angles 110.43, 110.43, 88.31 degrees
With the nearest neighbours (Å) after each atom.
Atoms (fractional coordinates):
Ba 0.0000 0.0000 0.0000  6 Pb 3.51-3.71, 4 Zn 3.55
Zn 0.1931 0.8069 0.5000  1 Zn 2.59, 4 Pb 2.78-2.85
Zn 0.8069 0.1931 0.5000  1 Zn 2.59, 4 Pb 2.78-2.85
Pb 0.4193 0.4193 0.7316  4 Zn 2.78-2.85
Pb 0.5807 0.5807 0.2684  4 Zn 2.78-2.85

Below is crystalline Sr3PdRh at its relaxed geometry, with properties calculated at the GGA-PBEsol level.

Results
SG	Pm-3m
theoretical density	4.540	Mg/m³
N(E_F)	4.016	states/eV per cell
total moment	0.000	μB per atom
electronic total energy	-18.161	eV per formula unit

Cell lengths 5.5688, 5.5688, 5.5688 Å; angles 90.00, 90.00, 90.00 degrees
With the nearest neighbours (Å) after each atom.
Atoms (fractional coordinates):
Sr 0.0000 0.0000 0.5000  2 Pd 2.78
Sr 0.0000 0.5000 0.0000  2 Pd 2.78
Sr 0.5000 0.0000 0.0000  2 Pd 2.78
Pd 0.0000 0.0000 0.0000  6 Sr 2.78
Rh 0.5000 0.5000 0.5000  12 Sr 3.94

Below is crystalline Cr2CuOs at its relaxed geometry, with properties calculated at the GGA-PBEsol level.

Results
SG	I-4m2
theoretical density	12.380	Mg/m³
N(E_F)	3.580	states/eV per cell
total moment	0.068	μB per atom
electronic total energy	-35.969	eV per formula unit

Cell lengths 4.4417, 4.4417, 4.4417 Å; angles 131.60, 131.60, 70.86 degrees
With the nearest neighbours (Å) after each atom.
Atoms (fractional coordinates):
Cr 0.0000 0.0000 0.0000  4 Cr 2.57, 4 Os 2.57, 4 Cu 2.57
Cr 0.7500 0.2500 0.5000  4 Cr 2.57, 4 Cu 2.57, 4 Os 2.57
Cu 0.5000 0.5000 0.0000  8 Cr 2.57, 4 Os 2.57
Os 0.2500 0.7500 0.5000  8 Cr 2.57, 4 Cu 2.57

Below is crystalline LiMn3O4F2 at its relaxed geometry, with properties calculated at the GGA-PBEsol level.

Results
SG	P1
theoretical density	4.454	Mg/m³
N(E_F)	1.532	states/eV per cell
total moment	1.201	μB per atom
electronic total energy	-74.951	eV per formula unit

Cell lengths 4.9314, 5.0879, 5.3395 Å; angles 115.59, 93.08, 117.21 degrees
With the nearest neighbours (Å) after each atom.
Atoms (fractional coordinates):
Li 0.0000 0.0000 0.0000  2 F 1.92-1.97, 2 O 2.00-2.13
Mn 0.3192 0.5418 0.8202  4 O 1.92-2.00, 1 F 2.14
Mn 0.5361 0.9928 0.4613  4 O 1.87-1.98, 1 F 2.07
Mn 0.8325 0.6165 0.3905  4 O 1.88-1.95, 1 F 2.04
O 0.2291 0.0629 0.6202  3 Mn 1.87-2.00
O 0.5947 0.7626 0.6388  3 Mn 1.90-1.95
O 0.6833 0.7573 0.1618  3 Mn 1.92-1.97, 1 Li 2.00
O 0.9276 0.4541 0.6168  3 Mn 1.88-1.98
F 0.0606 0.4502 0.1130  1 Li 1.97, 2 Mn 2.04-2.14
F 0.4207 0.1096 0.1607  1 Li 1.92, 2 Mn 2.07-2.12

Below is crystalline Ta7Mo at its relaxed geometry, with properties calculated at the GGA-PBEsol level.

Results
SG	R-3m
theoretical density	16.367	Mg/m³
N(E_F)	9.695	states/eV per cell
offset from the most stable computed form	0.006	eV/atom
total moment	0.000	μB per atom
electronic total energy	-99.950	eV per formula unit

Cell lengths 8.0002, 8.0002, 8.0002 Å; angles 33.41, 33.41, 33.41 degrees
With the nearest neighbours (Å) after each atom.
Atoms (fractional coordinates):
Ta 0.0000 0.0000 0.0000  8 Ta 2.84-2.88
Ta 0.1273 0.1273 0.1273  3 Mo 2.80, 5 Ta 2.83-2.88
Ta 0.2525 0.2525 0.2525  8 Ta 2.78-2.86
Ta 0.3775 0.3775 0.3775  1 Mo 2.77, 7 Ta 2.78-2.84
Ta 0.6225 0.6225 0.6225  1 Mo 2.77, 7 Ta 2.78-2.84
Ta 0.7475 0.7475 0.7475  8 Ta 2.78-2.86
Ta 0.8727 0.8727 0.8727  3 Mo 2.80, 5 Ta 2.83-2.88
Mo 0.5000 0.5000 0.5000  8 Ta 2.77-2.80

Below is crystalline BaBeRu at its relaxed geometry, with properties calculated at the GGA-PBEsol level.

Results
SG	F-43m
theoretical density	6.530	Mg/m³
N(E_F)	3.372	states/eV per cell
total moment	0.012	μB per atom
electronic total energy	-13.030	eV per formula unit

Cell lengths 4.4644, 4.4644, 4.4644 Å; angles 60.00, 60.00, 60.00 degrees
With the nearest neighbours (Å) after each atom.
Atoms (fractional coordinates):
Ba 0.0000 0.0000 0.0000  4 Be 2.73
Be 0.2500 0.2500 0.2500  4 Ba 2.73, 4 Ru 2.73
Ru 0.5000 0.5000 0.5000  4 Be 2.73

Below is crystalline GdGePt at its relaxed geometry, with properties calculated at the GGA-PBEsol level.

Results
SG	Pnma
theoretical density	12.238	Mg/m³
N(E_F)	6.830	states/eV per cell
total moment	2.346	μB per atom
electronic total energy	-29.788	eV per formula unit

Cell lengths 7.0104, 4.3598, 7.5464 Å; angles 90.00, 90.00, 90.00 degrees
With the nearest neighbours (Å) after each atom.
Atoms (fractional coordinates):
Gd 0.0037 0.2500 0.2030  6 Pt 2.99-3.23, 6 Ge 3.01-3.19
Gd 0.4963 0.7500 0.7030  6 Pt 2.99-3.23, 6 Ge 3.01-3.19
Gd 0.5037 0.2500 0.2970  6 Pt 2.99-3.23, 6 Ge 3.01-3.19
Gd 0.9963 0.7500 0.7970  6 Pt 2.99-3.23, 6 Ge 3.01-3.19
Ge 0.1878 0.2500 0.5872  4 Pt 2.54-2.75
Ge 0.3122 0.7500 0.0872  4 Pt 2.54-2.75
Ge 0.6878 0.2500 0.9128  4 Pt 2.54-2.75
Ge 0.8122 0.7500 0.4128  4 Pt 2.54-2.75
Pt 0.2039 0.7500 0.4149  4 Ge 2.54-2.75
Pt 0.2961 0.2500 0.9149  4 Ge 2.54-2.75
Pt 0.7039 0.7500 0.0851  4 Ge 2.54-2.75
Pt 0.7961 0.2500 0.5851  4 Ge 2.54-2.75